# 1
Material: HoTm2CoSn3Ir2
Method: DFT, PBE
State: relaxed

Results
The value obtained for the electronic total energy is -6.350 eV/atom. The symmetry is No. 38. The value obtained for the theoretical density is 11.84 g/cm3.

Lattice parameters (Å, degrees): 3.7156 7.5387 7.5387 120.13 90.00 90.00
Fractional coordinates of all 9 atoms:
1 Sn 0.5000 0.2543 0.9994
2 Sn 0.5000 0.9994 0.2543
3 Sn 0.5000 0.7459 0.7459
4 Ho 0.0000 0.4054 0.4054
5 Ir 0.5000 0.6682 0.3328
6 Ir 0.5000 0.3328 0.6682
7 Tm 0.0000 0.0000 0.5948
8 Tm 0.0000 0.5948 0.0000
9 Co 0.0000 0.9993 0.9993


# 2
Material: Li2In4CuAg
Method: DFT, PBE
State: relaxed

Results
The value obtained for the electronic total energy is -2.793 eV/atom. The symmetry is No. 38. The value obtained for the theoretical density is 6.33 g/cm3.

Lattice parameters (Å, degrees): 7.8797 5.4097 5.4097 47.19 90.00 90.00
Fractional coordinates of all 8 atoms:
1 Li 0.5000 0.4306 0.4306
2 Li 0.0000 0.5713 0.5713
3 Ag 0.0000 0.2804 0.2804
4 In 0.3116 0.1403 0.1403
5 In 0.2085 0.8601 0.8601
6 In 0.6884 0.1403 0.1403
7 In 0.7915 0.8601 0.8601
8 Cu 0.5000 0.7171 0.7171


# 3
Material: Zr5Sn3N
Method: DFT, PBE
State: relaxed

Results
The value obtained for the electronic total energy is -7.858 eV/atom. The symmetry is No. 193. The value obtained for the theoretical density is 7.61 g/cm3.

Lattice parameters (Å, degrees): 8.4769 8.4769 5.7980 90.00 90.00 120.00
Fractional coordinates of all 18 atoms:
1 Sn 0.5948 0.5948 0.7500
2 Sn 0.0000 0.5948 0.2500
3 Sn 0.0000 0.4052 0.7500
4 Sn 0.4052 0.4052 0.2500
5 Sn 0.5948 0.0000 0.2500
6 Sn 0.4052 0.0000 0.7500
7 Zr 0.0000 0.7797 0.7500
8 Zr 0.7797 0.7797 0.2500
9 Zr 0.6667 0.3333 0.5000
10 Zr 0.0000 0.2203 0.2500
11 Zr 0.3333 0.6667 0.0000
12 Zr 0.3333 0.6667 0.5000
13 Zr 0.6667 0.3333 0.0000
14 Zr 0.7797 0.0000 0.7500
15 Zr 0.2203 0.0000 0.2500
16 Zr 0.2203 0.2203 0.7500
17 N 0.0000 0.0000 0.5000
18 N 0.0000 0.0000 0.0000


# 4
Material: TbAlPO
Method: DFT, PBE
State: relaxed

Results
The value obtained for the electronic total energy is -6.414 eV/atom. Its excess energy over the best structure of this formula in the dataset is 0.000 eV/atom. The symmetry is No. 129. The value obtained for the theoretical density is 5.76 g/cm3.

Lattice parameters (Å, degrees): 3.9725 3.9725 8.5047 90.00 90.00 90.00
Fractional coordinates of all 8 atoms:
1 P 0.0000 0.5000 0.6677
2 P 0.5000 0.0000 0.3323
3 Tb 0.0000 0.5000 0.1269
4 Tb 0.5000 0.0000 0.8731
5 Al 0.5000 0.5000 0.5000
6 Al 0.0000 0.0000 0.5000
7 O 0.0000 0.0000 0.0000
8 O 0.5000 0.5000 0.0000